[1]
Compound: SrFeW2
Source: Alexandria
Functional: PBE-GGA
Structure: relaxed

Values from the calculation:
formation enthalpy at 0 K: 0.864 eV/atom
crystal system: orthorhombic
total energy: -8.148 eV per atom

a = 3.778 Å, b = 4.179 Å, c = 9.100 Å
α = 90.00°, β = 90.00°, γ = 90.00°
Space group Cmmm (No. 65)
Symmetry-distinct sites (fractional):
Sr1 0.000 0.000 0.000 [2 per cell]
Fe1 0.000 0.000 0.500 [2 per cell]
W1 0.000 0.500 0.314 [4 per cell]


[2]
Compound: SrFeW2
Source: Alexandria
Functional: PBE-GGA
Structure: relaxed

Values from the calculation:
formation enthalpy at 0 K: 1.154 eV/atom
crystal system: monoclinic
total energy: -7.859 eV per atom

a = 5.474 Å, b = 10.333 Å, c = 2.731 Å
α = 90.00°, β = 108.92°, γ = 90.00°
Space group C2/m (No. 12)
Symmetry-distinct sites (fractional):
Sr1 0.000 0.000 0.000 [2 per cell]
Fe1 0.000 0.500 0.000 [2 per cell]
W1 0.250 0.250 0.500 [4 per cell]


[3]
Compound: SrFeW2
Source: Alexandria
Functional: PBE-GGA
Structure: relaxed

Values from the calculation:
formation enthalpy at 0 K: 0.874 eV/atom
crystal system: orthorhombic
total energy: -8.139 eV per atom

a = 2.734 Å, b = 5.001 Å, c = 10.775 Å
α = 90.00°, β = 90.00°, γ = 90.00°
Space group Immm (No. 71)
Symmetry-distinct sites (fractional):
Sr1 0.000 0.000 0.000 [2 per cell]
Fe1 0.000 0.000 0.500 [2 per cell]
W1 0.000 0.500 0.205 [4 per cell]


[4]
Compound: SrFeW2
Source: Alexandria
Functional: PBE-GGA
Structure: relaxed

Values from the calculation:
formation enthalpy at 0 K: 0.867 eV/atom
crystal system: tetragonal
total energy: -8.146 eV per atom

a = 2.814 Å, b = 2.814 Å, c = 9.097 Å
α = 90.00°, β = 90.00°, γ = 90.00°
Space group P4/mmm (No. 123)
Symmetry-distinct sites (fractional):
Sr1 0.000 0.000 0.000 [1 per cell]
Fe1 0.000 0.000 0.500 [1 per cell]
W1 0.500 0.500 0.315 [2 per cell]


[5]
Compound: SrFeW
Source: Alexandria
Functional: PBE-GGA
Structure: relaxed

Values from the calculation:
formation enthalpy at 0 K: 0.682 eV/atom
crystal system: tetragonal
total energy: -7.017 eV per atom

a = 3.263 Å, b = 3.263 Å, c = 11.895 Å
α = 90.00°, β = 90.00°, γ = 90.00°
Space group I4mm (No. 107)
Symmetry-distinct sites (fractional):
Sr1 0.000 0.000 0.000 [2 per cell]
Fe1 0.000 0.000 0.285 [2 per cell]
W1 0.000 0.000 0.723 [2 per cell]


[6]
Compound: SrFeW2
Source: Alexandria
Functional: PBE-GGA
Structure: relaxed

Values from the calculation:
formation enthalpy at 0 K: 1.320 eV/atom
crystal system: tetragonal
total energy: -7.693 eV per atom

a = 3.851 Å, b = 3.851 Å, c = 5.103 Å
α = 90.00°, β = 90.00°, γ = 90.00°
Space group P4/mmm (No. 123)
Symmetry-distinct sites (fractional):
Sr1 0.000 0.000 0.000 [1 per cell]
Fe1 0.500 0.500 0.000 [1 per cell]
W1 0.000 0.500 0.500 [2 per cell]


[7]
Compound: SrFeW
Source: Alexandria
Functional: PBE-GGA
Structure: relaxed

Values from the calculation:
formation enthalpy at 0 K: 0.803 eV/atom
crystal system: trigonal
total energy: -6.897 eV per atom

a = 3.9580 Å, b = 3.9580 Å, c = 5.1995 Å
α = 90.00°, β = 90.00°, γ = 120.00°
Space group P3m1 (No. 156)
Symmetry-distinct sites (fractional):
Sr1 0.0000 0.0000 0.0000 [1 per cell]
Fe1 0.3333 0.6667 0.4711 [1 per cell]
W1 0.6667 0.3333 0.5080 [1 per cell]


[8]
Compound: SrFeW
Source: Alexandria
Functional: PBE-GGA
Structure: relaxed

Values from the calculation:
formation enthalpy at 0 K: 2.659 eV/atom
crystal system: cubic
total energy: -5.041 eV per atom

a = 6.953 Å, b = 6.953 Å, c = 6.953 Å
α = 90.00°, β = 90.00°, γ = 90.00°
Space group F-43m (No. 216)
Symmetry-distinct sites (fractional):
Sr1 0.000 0.000 0.000 [4 per cell]
Fe1 0.250 0.250 0.250 [4 per cell]
W1 0.250 0.250 0.750 [4 per cell]


[9]
Compound: SrFeW2
Source: Alexandria
Functional: PBE-GGA
Structure: relaxed

Values from the calculation:
formation enthalpy at 0 K: 1.037 eV/atom
crystal system: trigonal
total energy: -7.976 eV per atom

a = 2.9044 Å, b = 2.9044 Å, c = 29.6957 Å
α = 90.00°, β = 90.00°, γ = 120.00°
Space group R-3m (No. 166, hexagonal axes)
Symmetry-distinct sites (fractional):
Sr1 0.0000 0.0000 0.0000 [3 per cell]
Fe1 0.0000 0.0000 0.5000 [3 per cell]
W1 0.0000 0.0000 0.2343 [6 per cell]


[10]
Compound: SrFe3W
Source: Alexandria
Functional: PBE-GGA
Structure: relaxed

Values from the calculation:
formation enthalpy at 0 K: 1.038 eV/atom
crystal system: cubic
total energy: -6.966 eV per atom

a = 4.691 Å, b = 4.691 Å, c = 4.691 Å
α = 90.00°, β = 90.00°, γ = 90.00°
Space group Pm-3m (No. 221)
Symmetry-distinct sites (fractional):
Sr1 0.000 0.000 0.000 [1 per cell]
Fe1 0.000 0.500 0.500 [3 per cell]
W1 0.500 0.500 0.500 [1 per cell]


[11]
Compound: SrZrFe2W
Source: Alexandria
Functional: PBE-GGA
Structure: relaxed

Values from the calculation:
formation enthalpy at 0 K: 1.048 eV/atom
crystal system: tetragonal
total energy: -6.973 eV per atom

a = 4.682 Å, b = 4.682 Å, c = 5.005 Å
α = 90.00°, β = 90.00°, γ = 90.00°
Space group P4/mmm (No. 123)
Symmetry-distinct sites (fractional):
Sr1 0.000 0.000 0.000 [1 per cell]
Zr1 0.500 0.500 0.000 [1 per cell]
Fe1 0.000 0.500 0.500 [2 per cell]
W1 0.500 0.500 0.500 [1 per cell]


[12]
Compound: SrY2Fe
Source: Alexandria
Functional: PBE-GGA
Structure: relaxed

Values from the calculation:
formation enthalpy at 0 K: 0.539 eV/atom
crystal system: tetragonal
total energy: -5.229 eV per atom

a = 4.809 Å, b = 4.809 Å, c = 5.039 Å
α = 90.00°, β = 90.00°, γ = 90.00°
Space group P4/mmm (No. 123)
Symmetry-distinct sites (fractional):
Sr1 0.000 0.000 0.000 [1 per cell]
Y1 0.000 0.500 0.500 [2 per cell]
Fe1 0.500 0.500 0.000 [1 per cell]